(1)
Here is Li2CoCBr after structural relaxation from Alexandria. Energies are from PBE-GGA.

Results
Total energy (eV/cell): -15.160
Total magnetization (μB/cell): 3.45
E_form (uncorrected) (meV/atom): 1334
Calculated density (Mg/m³): 2.59

```
Li2CoCBr
1.0
4.976 0.000 0.000
0.000 4.273 0.000
0.000 0.000 4.976
C Co Br Li
1 1 1 2
Direct
0.500 0.500 0.500
0.000 0.000 0.000
0.000 0.500 0.000
0.000 0.000 0.500
0.500 0.000 0.000
```

***

(2)
Here is LiCo2CBr after structural relaxation from Alexandria. Energies are from PBE-GGA.

Results
Total energy (eV/cell): -26.305
Total magnetization (μB/cell): 2.09
E_form (uncorrected) (meV/atom): 144
Calculated density (Mg/m³): 3.41

```
LiCo2CBr
1.0
-2.414 -0.851 -2.555
6.012 -1.979 -5.022
-0.097 -3.401 1.225
C Co Br Li
1 2 1 1
Direct
0.000 0.000 0.000
0.000 0.000 0.500
0.500 0.000 0.000
0.000 0.500 0.000
0.500 0.500 0.500
```

***

(3)
Here is LiCoC2Br after structural relaxation from Alexandria. Energies are from PBE-GGA.

Results
Total energy (eV/cell): -25.555
Total magnetization (μB/cell): 0.00
E_form (uncorrected) (meV/atom): 717
Calculated density (Mg/m³): 2.63

```
LiCoC2Br
1.0
3.542 0.000 0.000
0.000 8.541 0.000
0.000 0.000 3.542
C Co Br Li
2 1 1 1
Direct
0.000 0.000 0.500
0.500 0.000 0.000
0.000 0.000 0.000
0.000 0.500 0.000
0.500 0.500 0.500
```

***

(4)
Here is CoMo2CBr after structural relaxation from Alexandria. Energies are from PBE-GGA.

Results
Total energy (eV/cell): -26.564
Total magnetization (μB/cell): 3.71
E_form (uncorrected) (meV/atom): 2620
Calculated density (Mg/m³): 6.77

```
CoMo2CBr
1.0
4.722 0.000 0.000
0.000 3.769 0.000
0.000 0.000 4.722
Mo Co C Br
2 1 1 1
Direct
0.000 0.000 0.500
0.500 0.000 0.000
0.500 0.500 0.500
0.000 0.500 0.000
0.000 0.000 0.000
```

***

(5)
Here is NbCoCBr2 after structural relaxation from Alexandria. Energies are from PBE-GGA.

Results
Total energy (eV/cell): -24.182
Total magnetization (μB/cell): 2.31
E_form (uncorrected) (meV/atom): 1113
Calculated density (Mg/m³): 4.69

```
NbCoCBr2
1.0
-3.033 3.078 -3.143
-2.578 -3.038 -0.488
-2.753 1.650 4.272
Nb Co C Br
1 1 1 2
Direct
0.000 0.000 0.000
0.500 0.500 0.500
0.000 0.500 0.000
0.000 0.000 0.500
0.500 0.000 0.000
```

***

(6)
Here is Nd8Co3CBr4 after structural relaxation from Alexandria. Energies are from PBE-GGA.

Results
Total energy (eV/cell): -86.923
Total magnetization (μB/cell): 0.00
E_form (uncorrected) (meV/atom): -722
Calculated density (Mg/m³): 6.53

```
Nd8Co3CBr4
1.0
-0.709 -7.539 -2.421
6.937 -2.328 5.218
-6.089 3.597 3.634
Nd Co C Br
8 3 1 4
Direct
0.222 0.684 0.963
0.222 0.685 0.445
0.267 0.302 0.535
0.740 0.684 0.963
0.260 0.316 0.037
0.733 0.698 0.465
0.778 0.315 0.555
0.778 0.316 0.037
0.500 0.500 0.000
0.500 0.500 0.500
0.000 0.500 0.500
0.000 0.500 0.000
0.500 0.000 0.000
0.500 0.000 0.500
0.000 0.000 0.000
0.000 0.000 0.500
```

***

(7)
Here is Nd8CoC3Br4 after structural relaxation from Alexandria. Energies are from PBE-GGA.

Results
Total energy (eV/cell): -92.154
Total magnetization (μB/cell): 0.00
E_form (uncorrected) (meV/atom): -784
Calculated density (Mg/m³): 6.65

```
Nd8CoC3Br4
1.0
-1.064 -7.656 -0.885
6.476 -1.550 5.626
-5.832 4.467 2.563
Nd Co C Br
8 1 3 4
Direct
0.235 0.686 0.951
0.235 0.686 0.470
0.272 0.316 0.544
0.716 0.686 0.951
0.284 0.314 0.049
0.728 0.684 0.456
0.765 0.314 0.530
0.765 0.314 0.049
0.000 0.500 0.000
0.500 0.500 0.000
0.500 0.500 0.500
0.000 0.500 0.500
0.500 0.000 0.000
0.500 0.000 0.500
0.000 0.000 0.000
0.000 0.000 0.500
```

***

(8)
Here is Nd4CoCBr2 after structural relaxation from Alexandria. Energies are from PBE-GGA.

Results
Total energy (eV/cell): -44.609
Total magnetization (μB/cell): 0.00
E_form (uncorrected) (meV/atom): -733
Calculated density (Mg/m³): 6.55

```
Nd4CoCBr2
1.0
-2.299 2.379 -1.933
2.342 -2.704 -6.113
-6.240 -4.307 2.120
Nd Co C Br
4 1 1 2
Direct
0.500 0.233 0.186
0.500 0.767 0.814
0.000 0.290 0.815
0.000 0.710 0.185
0.000 0.000 0.000
0.500 0.500 0.000
0.500 0.000 0.500
0.000 0.500 0.500
```

***

(9)
Here is CoPCBr after structural relaxation from Alexandria. Energies are from PBE-GGA.

Results
Total energy (eV/cell): -21.498
Total magnetization (μB/cell): 0.00
Energy above the most stable polymorph in this dataset (eV/f.u.): 0.48
E_form (uncorrected) (meV/atom): 479
Calculated density (Mg/m³): 3.93

```
CoPCBr
1.0
-0.614 -0.854 2.937
3.327 -0.866 0.444
1.577 6.817 1.486
P C Co Br
1 1 1 1
Direct
0.729 0.000 0.040
0.183 0.000 0.900
0.353 0.500 0.856
0.346 0.500 0.537
```

***

(10)
Here is CoPCBr after structural relaxation from Alexandria. Energies are from PBE-GGA.

Results
Total energy (eV/cell): -43.179
Total magnetization (μB/cell): 0.02
Energy above the most stable polymorph in this dataset (eV/f.u.): 0.39
E_form (uncorrected) (meV/atom): 456
Calculated density (Mg/m³): 4.41

```
CoPCBr
1.0
-4.078 1.257 -6.322
-2.164 -1.359 1.126
-0.993 5.152 4.311
P C Co Br
2 2 2 2
Direct
0.952 0.000 0.483
0.952 0.500 0.983
0.105 0.000 0.116
0.105 0.500 0.616
0.133 0.000 0.834
0.133 0.500 0.334
0.477 0.000 0.970
0.477 0.500 0.470
```

***

(11)
Here is CoPCBr after structural relaxation from Alexandria. Energies are from PBE-GGA.

Results
Total energy (eV/cell): -21.258
Total magnetization (μB/cell): 0.00
Energy above the most stable polymorph in this dataset (eV/f.u.): 0.72
E_form (uncorrected) (meV/atom): 539
Calculated density (Mg/m³): 4.60

```
CoPCBr
1.0
-2.900 0.322 1.726
-1.398 -1.767 -2.018
2.925 -5.322 2.634
P C Co Br
1 1 1 1
Direct
0.014 0.000 0.012
0.075 0.500 0.148
0.476 0.500 0.937
0.295 0.500 0.571
```

***

(12)
Here is CoPCBr after structural relaxation from Alexandria. Energies are from PBE-GGA.

Results
Total energy (eV/cell): -43.951
Total magnetization (μB/cell): 1.67
Energy above the most stable polymorph in this dataset (eV/f.u.): 0.00
E_form (uncorrected) (meV/atom): 359
Calculated density (Mg/m³): 4.08

```
CoPCBr
1.0
-1.300 -1.358 -2.978
2.769 -0.759 -0.863
-1.038 -12.016 7.241
P C Co Br
2 2 2 2
Direct
0.540 0.000 0.769
0.540 0.500 0.269
0.304 0.000 0.224
0.304 0.500 0.724
0.823 0.000 0.157
0.823 0.500 0.657
0.862 0.000 0.528
0.862 0.500 0.028
```

***

(13)
Here is CoPCBr after structural relaxation from Alexandria. Energies are from PBE-GGA.

Results
Total energy (eV/cell): -21.862
Total magnetization (μB/cell): 0.91
Energy above the most stable polymorph in this dataset (eV/f.u.): 0.11
E_form (uncorrected) (meV/atom): 388
Calculated density (Mg/m³): 4.45

```
CoPCBr
1.0
-2.920 -0.788 -0.410
2.091 -2.323 0.938
-0.644 2.544 7.345
P C Co Br
1 1 1 1
Direct
0.456 0.836 0.978
0.811 0.516 0.023
0.603 0.268 0.772
0.851 0.908 0.559
```

***

(14)
Here is Pm8CoC3Br4 after structural relaxation from Alexandria. Energies are from PBE-GGA.

Results
Total energy (eV/cell): -92.329
Total magnetization (μB/cell): 0.00
E_form (uncorrected) (meV/atom): -803
Calculated density (Mg/m³): 6.84

```
Pm8CoC3Br4
1.0
-6.540 3.531 -2.097
-4.489 -5.206 5.232
5.714 4.063 3.241
Pm Co C Br
8 1 3 4
Direct
0.235 0.686 0.951
0.235 0.686 0.469
0.272 0.317 0.545
0.716 0.686 0.951
0.284 0.314 0.049
0.728 0.683 0.455
0.765 0.314 0.531
0.765 0.314 0.049
0.000 0.500 0.000
0.500 0.500 0.000
0.500 0.500 0.500
0.000 0.500 0.500
0.500 0.000 0.000
0.500 0.000 0.500
0.000 0.000 0.000
0.000 0.000 0.500
```

***

(15)
Here is Pm8Co3CBr3 after structural relaxation from Alexandria. Energies are from PBE-GGA.

Results
Total energy (eV/cell): -81.895
Total magnetization (μB/cell): 0.00
E_form (uncorrected) (meV/atom): -555
Calculated density (Mg/m³): 6.37

```
Pm8Co3CBr3
1.0
-6.005 5.099 0.821
1.838 -4.946 5.913
5.567 6.792 -1.364
Pm Co C Br
8 3 1 3
Direct
0.268 0.536 0.304
0.732 0.464 0.696
0.779 0.559 0.318
0.221 0.441 0.682
0.779 0.038 0.318
0.221 0.962 0.682
0.259 0.038 0.317
0.741 0.962 0.683
0.500 0.000 0.500
0.500 0.500 0.500
0.000 0.500 0.500
0.000 0.000 0.500
0.000 0.000 0.000
0.000 0.500 0.000
0.500 0.500 0.000
```

***

(16)
Here is Pm8Co3CBr4 after structural relaxation from Alexandria. Energies are from PBE-GGA.

Results
Total energy (eV/cell): -86.981
Total magnetization (μB/cell): 0.00
E_form (uncorrected) (meV/atom): -734
Calculated density (Mg/m³): 6.70

```
Pm8Co3CBr4
1.0
7.894 0.000 0.000
0.000 8.890 0.681
-3.947 -3.938 5.591
Pm Co C Br
8 3 1 4
Direct
0.222 0.684 0.962
0.222 0.684 0.444
0.267 0.303 0.535
0.740 0.684 0.962
0.260 0.316 0.038
0.733 0.697 0.465
0.778 0.316 0.556
0.778 0.316 0.038
0.500 0.500 0.000
0.500 0.500 0.500
0.000 0.500 0.500
0.000 0.500 0.000
0.500 0.000 0.000
0.500 0.000 0.500
0.000 0.000 0.000
0.000 0.000 0.500
```

***

(17)
Here is Pm6Co2CBr3 after structural relaxation from Alexandria. Energies are from PBE-GGA.

Results
Total energy (eV/cell): -65.877
Total magnetization (μB/cell): 0.00
E_form (uncorrected) (meV/atom): -743
Calculated density (Mg/m³): 6.69

```
Pm6Co2CBr3
1.0
6.838 0.004 0.000
-3.414 5.925 0.000
-1.142 -1.977 7.587
Pm Co C Br
6 2 1 3
Direct
0.939 0.621 0.814
0.742 0.742 0.186
0.061 0.379 0.186
0.621 0.939 0.814
0.258 0.258 0.814
0.379 0.061 0.186
0.333 0.667 0.000
0.667 0.333 0.000
0.000 0.000 0.000
0.165 0.835 0.500
0.835 0.165 0.500
0.500 0.500 0.500
```

***

(18)
Here is Pr8CoC3Br4 after structural relaxation from Alexandria. Energies are from PBE-GGA.

Results
Total energy (eV/cell): -91.978
Total magnetization (μB/cell): 0.00
E_form (uncorrected) (meV/atom): -767
Calculated density (Mg/m³): 6.38

```
Pr8CoC3Br4
1.0
-6.360 -3.329 -3.149
0.152 -6.196 6.244
-0.282 7.439 2.463
Pr Co C Br
8 1 3 4
Direct
0.235 0.687 0.951
0.235 0.687 0.471
0.272 0.316 0.544
0.716 0.687 0.951
0.284 0.313 0.049
0.728 0.684 0.456
0.765 0.313 0.529
0.765 0.313 0.049
0.000 0.500 0.000
0.500 0.500 0.000
0.500 0.500 0.500
0.000 0.500 0.500
0.500 0.000 0.000
0.500 0.000 0.500
0.000 0.000 0.000
0.000 0.000 0.500
```

***

(19)
Here is Pr8Co3CBr4 after structural relaxation from Alexandria. Energies are from PBE-GGA.

Results
Total energy (eV/cell): -86.837
Total magnetization (μB/cell): 0.00
E_form (uncorrected) (meV/atom): -711
Calculated density (Mg/m³): 6.28

```
Pr8Co3CBr4
1.0
-2.332 6.355 4.280
-7.727 0.340 -4.715
1.607 -6.932 3.675
Pr Co C Br
8 3 1 4
Direct
0.222 0.685 0.963
0.222 0.685 0.445
0.267 0.302 0.535
0.741 0.685 0.963
0.259 0.315 0.037
0.733 0.698 0.465
0.778 0.315 0.555
0.778 0.315 0.037
0.500 0.500 0.000
0.500 0.500 0.500
0.000 0.500 0.500
0.000 0.500 0.000
0.500 0.000 0.000
0.500 0.000 0.500
0.000 0.000 0.000
0.000 0.000 0.500
```

***

(20)
Here is Pr6Co2CBr3 after structural relaxation from Alexandria. Energies are from PBE-GGA.

Results
Total energy (eV/cell): -65.729
Total magnetization (μB/cell): 0.00
E_form (uncorrected) (meV/atom): -716
Calculated density (Mg/m³): 6.27

```
Pr6Co2CBr3
1.0
6.938 0.009 -0.001
-3.460 6.014 -0.001
-1.162 -2.011 7.706
Pr Co C Br
6 2 1 3
Direct
0.939 0.621 0.813
0.742 0.742 0.187
0.061 0.379 0.187
0.621 0.939 0.813
0.258 0.258 0.813
0.379 0.061 0.187
0.333 0.667 0.000
0.667 0.333 0.000
0.000 0.000 0.000
0.166 0.834 0.500
0.834 0.166 0.500
0.500 0.500 0.500
```